Record 1
A plane-wave DFT calculation with PBE-GGA was carried out for NaCeBrO2 after structural relaxation.

```
10
Lattice="7.2327 0.0000 0.0000 0.0000 3.5455 0.0000 -2.7415 0.0000 7.5919" Properties=species:S:1:pos:R:3 pbc="T T T"
Na 0.8246 0.8864 1.5352
Na 3.6666 2.6591 6.0568
Ce -0.0510 0.8864 6.2879
Ce 4.5423 2.6591 1.3040
Br 0.3172 2.6591 3.6783
Br 4.1740 0.8864 3.9137
O -1.3224 2.6591 6.6728
O 3.0804 0.8864 0.9225
O 1.4108 2.6591 6.6695
O 5.8136 0.8864 0.9191
```

Computed properties:
**E**: -62.18 eV per cell
**Symmetry**: P2_1/m

=====

Record 2
A plane-wave DFT calculation with PBE-GGA was carried out for IrRuPb2 after structural relaxation.

```
4
Lattice="4.5946 0.0000 0.0000 0.0000 3.3295 0.0000 -2.2660 0.0000 5.1807" Properties=species:S:1:pos:R:3 pbc="T T T"
Ir 0.0000 0.0000 0.0000
Ru 1.1643 1.6648 2.5904
Pb -1.1330 0.0000 2.5904
Pb 2.2973 1.6648 0.0000
```

Computed properties:
**E**: -23.19 eV per cell
**Formation enthalpy at 0 K**: 0.591 eV per atom
**Symmetry**: P2/m
**Energy above the lowest structure with this stoichiometry**: 5.58 kcal/mol of atoms
**Fermi-level density of states**: 3.29 states/eV/cell

=====

Record 3
A plane-wave DFT calculation with PBE-GGA was carried out for YErCdGe after structural relaxation.

```
4
Lattice="0.0000 3.6273 3.6273 3.6273 0.0000 3.6273 3.6273 3.6273 0.0000" Properties=species:S:1:pos:R:3 pbc="T T T"
Y 0.0000 0.0000 0.0000
Er 3.6273 3.6273 3.6273
Cd 1.8137 1.8137 1.8137
Ge 5.4410 5.4410 5.4410
```

Computed properties:
**E**: -18.44 eV per cell
**Formation enthalpy at 0 K**: -0.471 eV per atom
**Symmetry**: F-43m
**Fermi-level density of states**: 3.01 states/eV/cell

=====

Record 4
A plane-wave DFT calculation with PBE-GGA was carried out for Pm2Ho6ErTm after structural relaxation.

```
20
Lattice="4.4859 -7.4825 0.0000 4.4859 7.4825 0.0000 -1.4717 0.0000 9.4955" Properties=species:S:1:pos:R:3 pbc="T T T"
Pm 2.1494 0.7782 0.4072
Pm 1.4135 -0.7782 5.1550
Pm 6.0866 0.7782 4.3405
Pm 5.3507 -0.7782 9.0883
Ho 2.3959 4.1515 1.7791
Ho 3.0963 4.6453 5.2904
Ho 3.6680 4.6453 8.9529
Ho 2.9988 1.5782 3.6143
Ho 5.8400 4.1515 2.9687
Ho 5.2372 1.5782 1.1335
Ho 2.2629 -1.5782 8.3620
Ho 1.6601 -4.1515 6.5268
Ho 4.5014 -1.5782 5.8812
Ho 3.8321 -4.6453 0.5426
Ho 4.4038 -4.6453 4.2051
Ho 5.1042 -4.1515 7.7165
Er 4.1180 7.1994 2.3739
Er 3.3821 -7.1994 7.1216
Tm 3.3821 1.3872 7.1216
Tm 4.1180 -1.3872 2.3739
```

Computed properties:
**E**: -89.67 eV per cell
**Formation enthalpy at 0 K**: 0.117 eV per atom
**Symmetry**: C2/c
**Fermi-level density of states**: 26.28 states/eV/cell

=====

Record 5
A plane-wave DFT calculation with PBE-GGA was carried out for Ba2SrCu2 after structural relaxation.

```
10
Lattice="8.6116 0.0000 0.0000 0.0000 8.6116 0.0000 0.0000 0.0000 4.8154" Properties=species:S:1:pos:R:3 pbc="T T T"
Ba 1.4600 2.8458 0.0000
Ba 2.8458 7.1516 0.0000
Ba 5.7658 1.4600 0.0000
Ba 7.1516 5.7658 0.0000
Sr 0.0000 0.0000 2.4077
Sr 4.3058 4.3058 2.4077
Cu 0.9066 5.2124 2.4077
Cu 3.3992 0.9066 2.4077
Cu 5.2124 7.7050 2.4077
Cu 7.7050 3.3992 2.4077
```

Computed properties:
**E**: -27.47 eV per cell
**Formation enthalpy at 0 K**: -0.003 eV per atom
**Symmetry**: P4/mbm
**Energy above the lowest structure with this stoichiometry**: 0.00 kcal/mol of atoms
**Fermi-level density of states**: 3.31 states/eV/cell

=====

Record 6
A plane-wave DFT calculation with PBE-GGA was carried out for TmSc2Pb3 after structural relaxation.

```
12
Lattice="8.1578 -3.0964 0.0000 8.1578 3.0964 0.0000 -1.1497 0.0000 6.0640" Properties=species:S:1:pos:R:3 pbc="T T T"
Tm 7.2955 2.2963 4.5480
Tm 7.8703 -2.2963 1.5160
Sc 4.3806 0.7606 5.5966
Sc 4.9555 -0.7606 2.5646
Sc 10.2104 0.7606 3.4995
Sc 10.7852 -0.7606 0.4674
Pb 2.1021 0.7650 3.5665
Pb 2.6770 -0.7650 0.5345
Pb 7.8703 0.7865 1.5160
Pb 7.2955 -0.7865 4.5480
Pb 12.4889 0.7650 5.5296
Pb 13.0637 -0.7650 2.4976
```

Computed properties:
**E**: -61.50 eV per cell
**Formation enthalpy at 0 K**: -0.415 eV per atom
**Symmetry**: C2/c
**Fermi-level density of states**: 4.39 states/eV/cell

=====

Please write out number 3 again, unchanged.
A plane-wave DFT calculation with PBE-GGA was carried out for YErCdGe after structural relaxation.

```
4
Lattice="0.0000 3.6273 3.6273 3.6273 0.0000 3.6273 3.6273 3.6273 0.0000" Properties=species:S:1:pos:R:3 pbc="T T T"
Y 0.0000 0.0000 0.0000
Er 3.6273 3.6273 3.6273
Cd 1.8137 1.8137 1.8137
Ge 5.4410 5.4410 5.4410
```

Computed properties:
**E**: -18.44 eV per cell
**Formation enthalpy at 0 K**: -0.471 eV per atom
**Symmetry**: F-43m
**Fermi-level density of states**: 3.01 states/eV/cell

=====

- The lowest E belongs to which entry?
  Pm2Ho6ErTm